Compound: Y2TiAuC
Source: the Alexandria database
Functional: PBE
Structure: relaxed

```
5
Lattice="4.9315 0.0000 0.0000 0.0000 4.9315 0.0000 0.0000 0.0000 4.1363" Properties=species:S:1:pos:R:3 pbc="T T T"
Y 0.0000 2.4658 0.0000
Y 2.4658 0.0000 0.0000
Ti 0.0000 0.0000 2.0681
Au 2.4658 2.4658 2.0681
C 0.0000 0.0000 0.0000
```

Calculated values
ΔH_f (0 K) = -0.4875 eV per atom
crystal system = tetragonal

***

Compound: Ac4As2PBr
Source: the Alexandria database
Functional: PBE
Structure: relaxed

```
8
Lattice="7.7587 0.0000 0.0000 0.0000 4.5056 0.0000 -2.6012 0.0000 7.4135" Properties=species:S:1:pos:R:3 pbc="T T T"
Ac 1.2401 0.0000 1.7093
Ac -0.0570 2.2528 5.6523
Ac 5.2145 2.2528 1.7613
Ac 3.9173 0.0000 5.7042
As -1.3006 0.0000 3.7068
As 0.0000 2.2528 0.0000
P 3.8793 0.0000 0.0000
Br 2.5787 2.2528 3.7068
```

Calculated values
raw formation energy = -11.85 eV per formula unit
crystal system = monoclinic

***

Compound: Hf2BeGa2
Source: the Alexandria database
Functional: PBE
Structure: relaxed

```
10
Lattice="2.0655 -7.1694 0.0000 2.0655 7.1694 0.0000 0.0000 0.0000 5.9316" Properties=species:S:1:pos:R:3 pbc="T T T"
Hf 2.0655 7.1274 2.9658
Hf 2.0655 4.1760 1.9665
Hf 2.0655 -4.1760 4.9323
Hf 2.0655 -7.1274 0.0000
Be 2.0655 1.5206 0.9457
Be 2.0655 -1.5206 3.9115
Ga 2.0655 4.7734 4.7181
Ga 2.0655 1.1584 4.3896
Ga 2.0655 -1.1584 1.4238
Ga 2.0655 -4.7734 1.7523
```

Calculated values
relative energy among the computed polymorphs = 251 meV per atom
ΔH_f (0 K) = -0.1918 eV per atom
crystal system = orthorhombic

***

Compound: Dy3SiRh2
Source: the Alexandria database
Functional: PBE
Structure: relaxed

```
24
Lattice="11.5536 0.0000 0.0000 0.0000 3.8685 0.0000 0.0000 0.0000 11.9822" Properties=species:S:1:pos:R:3 pbc="T T T"
Dy 0.6805 0.9671 1.4167
Dy 1.4768 2.9014 6.6514
Dy 2.3104 0.9671 9.6823
Dy 3.4664 2.9014 3.6912
Dy 4.3000 0.9671 0.6603
Dy 5.0963 2.9014 7.4078
Dy 6.4573 0.9671 4.5744
Dy 7.2536 2.9014 11.3219
Dy 8.0872 0.9671 8.2911
Dy 9.2432 2.9014 2.2999
Dy 10.0768 0.9671 5.3308
Dy 10.8731 2.9014 10.5655
Si 1.3939 0.9671 4.3256
Si 4.3829 2.9014 10.3167
Si 7.1707 0.9671 1.6655
Si 10.1597 2.9014 7.6567
Rh 0.1668 2.9014 3.7039
Rh 2.2545 2.9014 11.7561
Rh 3.5222 0.9671 5.7650
Rh 5.6100 0.9671 9.6950
Rh 5.9436 2.9014 2.2872
Rh 8.0313 2.9014 6.2173
Rh 9.2990 0.9671 0.2262
Rh 11.3868 0.9671 8.2784
```

Calculated values
raw formation energy = -4.88 eV per formula unit
crystal system = orthorhombic

***

Compound: SrBrO2
Source: the Alexandria database
Functional: PBE
Structure: relaxed

```
8
Lattice="-2.3737 2.3737 6.9017 2.3737 -2.3737 6.9017 2.3737 2.3737 -6.9017" Properties=species:S:1:pos:R:3 pbc="T T T"
Sr 0.0000 0.0000 0.0000
Sr 0.0000 2.3737 3.4509
Br 2.3737 0.0000 3.4509
Br 0.0000 0.0000 6.9017
O 1.1869 -0.9925 5.1763
O 1.3812 1.1869 1.7254
O 1.1869 3.3662 -1.7254
O 0.9925 1.1869 8.6272
```

Calculated values
raw formation energy = -3.38 eV per formula unit
relative energy among the computed polymorphs = 602 meV per atom
crystal system = tetragonal

***

Compound: La2TcPdN
Source: the Alexandria database
Functional: PBE
Structure: relaxed

```
5
Lattice="5.2455 0.0000 0.0000 0.0000 5.2455 0.0000 0.0000 0.0000 3.8685" Properties=species:S:1:pos:R:3 pbc="T T T"
La 0.0000 2.6228 0.0000
La 2.6228 0.0000 0.0000
Tc 0.0000 0.0000 1.9343
Pd 2.6228 2.6228 1.9343
N 0.0000 0.0000 0.0000
```

Calculated values
raw formation energy = -3.62 eV per formula unit
crystal system = tetragonal

***

Number 1: total magnetization 0.1 μB/cell, DOS at the Fermi energy 3.0 states/eV per cell, E -35.762 eV/cell. Number 2: total magnetization 0.0 μB/cell, DOS at the Fermi energy 2.9 states/eV per cell, E -44.670 eV/cell. Number 3: total magnetization 0.0 μB/cell, DOS at the Fermi energy 4.7 states/eV per cell, E -61.292 eV/cell. Number 4: total magnetization 0.0 μB/cell, DOS at the Fermi energy 14.2 states/eV per cell, E -155.265 eV/cell. Number 5: total magnetization 0.0 μB/cell, DOS at the Fermi energy 2.8 states/eV per cell, E -33.303 eV/cell. Number 6: total magnetization 0.0 μB/cell, DOS at the Fermi energy 2.6 states/eV per cell, E -37.359 eV/cell.